This record from Alexandria describes LiThBr6 after structural relaxation. The functional is PBE.

Unit cell a=6.9698 b=8.1236 c=7.5247 alpha=105.55 beta=98.42 gamma=125.93
Atoms (fractional coordinates):
Li (0.0000, 0.5000, 0.0000)
Th (0.0000, 0.0000, 0.0000)
Br (0.8573, 0.1138, 0.7106)
Br (0.1467, 0.4033, 0.2894)
Br (0.8533, 0.5967, 0.7106)
Br (0.1427, 0.8862, 0.2894)
Br (0.4960, 0.7494, 0.0000)
Br (0.5040, 0.2506, 0.0000)

Values from the calculation:
formation energy (no corrections)	-10.668	eV/f.u.
energy above the lowest structure with this stoichiometry	0.0000	eV per atom
total magnetization	0.88	μB per formula unit
N(E_F)	1.554	states/eV per atom


This record from Alexandria describes LiThBr4 after structural relaxation. The functional is PBE.

Unit cell a=9.6000 b=9.6000 c=7.0326 alpha=133.04 beta=133.04 gamma=90.00
Atoms (fractional coordinates):
Li (0.7500, 0.2500, 0.5000)
Th (0.5000, 0.5000, 0.0000)
Br (0.0520, 0.2427, 0.9873)
Br (0.9353, 0.7447, 0.9873)
Br (0.7573, 0.0647, 0.0127)
Br (0.2553, 0.9480, 0.0127)

Values from the calculation:
formation energy (no corrections)	-9.010	eV/f.u.
energy above the lowest structure with this stoichiometry	0.0469	eV per atom
total magnetization	0.50	μB per formula unit
N(E_F)	0.176	states/eV per atom